Entry 1:
The following is a DFT calculation (PBE) of SmGa4Cu2Tc after structural relaxation.

```
SmGa4Cu2Tc
1.0
2.090 1.207 9.098
-2.090 1.207 9.098
0.000 -2.414 9.098
Sm Ga Cu Tc
1 4 2 1
Cartesian
0.000 0.000 0.000 Sm
0.000 0.000 3.580 Ga
0.000 0.000 10.967 Ga
0.000 0.000 16.328 Ga
0.000 0.000 23.715 Ga
0.000 0.000 6.350 Cu
0.000 0.000 20.945 Cu
0.000 0.000 13.647 Tc
```

Values from the calculation:
spin magnetization = 0.0000 μB/atom
E_form = -239.2 meV per atom



Entry 2:
The following is a DFT calculation (PBE) of SmThGaCu after structural relaxation.

```
SmThGaCu
1.0
0.000 3.629 3.629
3.629 0.000 3.629
3.629 3.629 0.000
Sm Th Ga Cu
1 1 1 1
Cartesian
0.000 0.000 0.000 Sm
3.629 3.629 3.629 Th
5.443 5.443 5.443 Ga
1.814 1.814 1.814 Cu
```

Values from the calculation:
spin magnetization = 0.0000 μB/atom
E_form = -277.1 meV per atom



Entry 3:
The following is a DFT calculation (PBE) of SmTiGaCu after structural relaxation.

```
SmTiGaCu
1.0
0.000 3.395 3.395
3.395 0.000 3.395
3.395 3.395 0.000
Sm Ti Ga Cu
1 1 1 1
Cartesian
0.000 0.000 0.000 Sm
3.395 3.395 3.395 Ti
1.697 1.697 1.697 Ga
5.092 5.092 5.092 Cu
```

Values from the calculation:
spin magnetization = 0.3368 μB/atom
E_form = -178.4 meV per atom



Entry 4:
The following is a DFT calculation (PBE) of SmTlGaCu after structural relaxation.

```
SmTlGaCu
1.0
0.000 3.506 3.506
3.506 0.000 3.506
3.506 3.506 0.000
Sm Tl Ga Cu
1 1 1 1
Cartesian
0.000 0.000 0.000 Sm
3.506 3.506 3.506 Tl
5.259 5.259 5.259 Ga
1.753 1.753 1.753 Cu
```

Values from the calculation:
spin magnetization = 0.0000 μB/atom
E_form = -177.4 meV per atom



Entry 5:
The following is a DFT calculation (PBE) of SmTm2Ga2Cu2 after structural relaxation.

```
SmTm2Ga2Cu2
1.0
2.196 1.268 9.033
-2.196 1.268 9.033
0.000 -2.536 9.033
Sm Tm Ga Cu
1 2 2 2
Cartesian
0.000 0.000 0.000 Sm
0.000 0.000 3.400 Tm
0.000 0.000 23.700 Tm
0.000 0.000 7.024 Ga
0.000 0.000 20.076 Ga
0.000 0.000 10.962 Cu
0.000 0.000 16.138 Cu
```

Values from the calculation:
spin magnetization = 0.0000 μB/atom
E_form = -391.8 meV per atom



Entry 6:
The following is a DFT calculation (PBE) of Sm2Y2Ga4Cu after structural relaxation.

```
Sm2Y2Ga4Cu
1.0
-3.509 3.509 4.300
3.509 -3.509 4.300
3.509 3.509 -4.300
Sm Y Ga Cu
2 2 4 1
Cartesian
0.000 0.000 1.626 Sm
0.000 0.000 6.973 Sm
3.509 0.000 2.150 Y
0.000 3.509 2.150 Y
1.843 1.843 0.000 Ga
1.665 -1.665 4.300 Ga
-1.665 1.665 4.300 Ga
1.665 1.665 4.300 Ga
0.000 0.000 4.300 Cu
```

Values from the calculation:
spin magnetization = 0.0409 μB/atom
E_form = -328.6 meV per atom



Entry 7:
The following is a DFT calculation (PBE) of Sm2ZnGa4Cu3 after structural relaxation.

```
Sm2ZnGa4Cu3
1.0
4.208 0.000 0.000
0.000 4.208 0.000
0.000 0.000 10.167
Sm Zn Ga Cu
2 1 4 3
Cartesian
0.000 2.104 2.546 Sm
2.104 0.000 7.621 Sm
0.000 0.000 5.084 Zn
0.000 0.000 0.000 Ga
0.000 2.104 6.478 Ga
2.104 0.000 3.689 Ga
2.104 2.104 0.000 Ga
0.000 2.104 8.865 Cu
2.104 0.000 1.302 Cu
2.104 2.104 5.084 Cu
```

Values from the calculation:
spin magnetization = 0.0000 μB/atom
E_form = -457.0 meV per atom



Entry 8:
The following is a DFT calculation (PBE) of SmZn4GaCu2 after structural relaxation.

```
SmZn4GaCu2
1.0
2.114 1.221 8.887
-2.114 1.221 8.887
0.000 -2.442 8.887
Sm Zn Ga Cu
1 4 1 2
Cartesian
0.000 0.000 0.000 Sm
0.000 0.000 3.244 Zn
0.000 0.000 10.700 Zn
0.000 0.000 15.961 Zn
0.000 0.000 23.417 Zn
0.000 0.000 13.331 Ga
0.000 0.000 6.544 Cu
0.000 0.000 20.117 Cu
```

Values from the calculation:
spin magnetization = 0.0000 μB/atom
E_form = -142.3 meV per atom



Entry 9:
The following is a DFT calculation (PBE) of SmZnGa2Cu4 after structural relaxation.

```
SmZnGa2Cu4
1.0
2.092 1.208 8.459
-2.092 1.208 8.459
0.000 -2.415 8.459
Sm Zn Ga Cu
1 1 2 4
Cartesian
0.000 0.000 0.000 Sm
0.000 0.000 12.689 Zn
0.000 0.000 6.225 Ga
0.000 0.000 19.153 Ga
0.000 0.000 3.413 Cu
0.000 0.000 10.263 Cu
0.000 0.000 15.114 Cu
0.000 0.000 21.965 Cu
```

Values from the calculation:
spin magnetization = 0.0000 μB/atom
E_form = -218.4 meV per atom



Entry 10:
The following is a DFT calculation (PBE) of SmZn2GaCu2 after structural relaxation.

```
SmZn2GaCu2
1.0
4.469 0.000 0.000
0.000 4.469 0.000
0.000 0.000 5.665
Sm Zn Ga Cu
1 2 1 2
Cartesian
0.000 0.000 0.000 Sm
2.234 2.234 1.325 Zn
2.234 2.234 4.340 Zn
0.000 0.000 2.832 Ga
0.000 2.234 2.832 Cu
2.234 0.000 2.832 Cu
```

Values from the calculation:
spin magnetization = 0.0000 μB/atom
E_form = -33.2 meV per atom



Entry 11:
The following is a DFT calculation (PBE) of SmZn3GaCu after structural relaxation.

```
SmZn3GaCu
1.0
3.135 -6.283 0.000
3.135 6.283 0.000
0.000 0.000 5.739
Sm Zn Ga Cu
2 6 2 2
Cartesian
3.135 3.713 4.305 Sm
3.135 -3.713 1.435 Sm
1.229 0.000 0.000 Zn
1.229 0.000 2.870 Zn
3.135 1.807 1.435 Zn
3.135 -1.807 4.305 Zn
5.042 0.000 0.000 Zn
5.042 0.000 2.870 Zn
3.135 0.892 4.305 Ga
3.135 -0.892 1.435 Ga
3.135 4.399 1.435 Cu
3.135 -4.399 4.305 Cu
```

Values from the calculation:
spin magnetization = 0.0000 μB/atom
E_form = -85.0 meV per atom



Entry 12:
The following is a DFT calculation (PBE) of SmZnGa2Cu after structural relaxation.

```
SmZnGa2Cu
1.0
-2.110 2.110 5.155
2.110 -2.110 5.155
2.110 2.110 -5.155
Sm Zn Ga Cu
1 1 2 1
Cartesian
0.000 0.000 0.000 Sm
0.000 2.110 2.578 Zn
0.000 0.000 3.918 Ga
0.000 0.000 6.392 Ga
2.110 0.000 2.578 Cu
```

Values from the calculation:
spin magnetization = 0.0000 μB/atom
E_form = -457.2 meV per atom



Entry 13:
The following is a DFT calculation (PBE) of Sm2Zn4Ga3Cu after structural relaxation.

```
Sm2Zn4Ga3Cu
1.0
4.208 0.000 0.000
0.000 4.208 0.000
0.000 0.000 10.525
Sm Zn Ga Cu
2 4 3 1
Cartesian
0.000 2.104 2.600 Sm
2.104 0.000 7.925 Sm
0.000 0.000 5.263 Zn
0.000 2.104 9.179 Zn
2.104 0.000 1.346 Zn
2.104 2.104 5.263 Zn
0.000 0.000 0.000 Ga
0.000 2.104 6.735 Ga
2.104 0.000 3.790 Ga
2.104 2.104 0.000 Cu
```

Values from the calculation:
spin magnetization = 0.0000 μB/atom
E_form = -414.0 meV per atom



Entry 14:
The following is a DFT calculation (PBE) of SmZn8Ga2Cu after structural relaxation.

```
SmZn8Ga2Cu
1.0
3.718 -2.465 0.000
3.718 2.465 0.000
-2.250 0.000 11.335
Sm Zn Ga Cu
1 8 2 1
Cartesian
0.000 0.000 0.000 Sm
1.821 1.243 7.722 Zn
0.057 0.000 9.347 Zn
3.365 1.243 3.613 Zn
1.400 0.000 5.223 Zn
3.786 0.000 6.112 Zn
1.821 -1.243 7.722 Zn
5.130 0.000 1.989 Zn
3.365 -1.243 3.613 Zn
2.512 0.000 1.498 Ga
2.674 0.000 9.838 Ga
-1.125 0.000 5.668 Cu
```

Values from the calculation:
spin magnetization = 0.0000 μB/atom
E_form = -97.6 meV per atom



Entry 15:
The following is a DFT calculation (PBE) of Sm2ZnGaCu6 after structural relaxation.

```
Sm2ZnGaCu6
1.0
0.000 4.551 4.551
4.551 0.000 4.551
4.551 4.551 0.000
Sm Zn Ga Cu
2 1 1 6
Cartesian
2.276 2.276 2.276 Sm
6.827 6.827 6.827 Sm
0.000 0.000 0.000 Zn
4.551 4.551 4.551 Ga
4.551 4.551 2.270 Cu
4.551 2.270 4.551 Cu
6.833 4.551 4.551 Cu
2.270 4.551 4.551 Cu
4.551 6.833 4.551 Cu
4.551 4.551 6.833 Cu
```

Values from the calculation:
spin magnetization = 0.0000 μB/atom
E_form = 89.3 meV per atom



Entry 16:
The following is a DFT calculation (PBE) of SmZnGa4Cu2 after structural relaxation.

```
SmZnGa4Cu2
1.0
2.149 1.241 8.716
-2.149 1.241 8.716
0.000 -2.482 8.716
Sm Zn Ga Cu
1 1 4 2
Cartesian
0.000 0.000 0.000 Sm
0.000 0.000 13.074 Zn
0.000 0.000 3.272 Ga
0.000 0.000 10.428 Ga
0.000 0.000 15.720 Ga
0.000 0.000 22.876 Ga
0.000 0.000 6.262 Cu
0.000 0.000 19.886 Cu
```

Values from the calculation:
spin magnetization = 0.0000 μB/atom
E_form = -215.1 meV per atom



Entry 17:
The following is a DFT calculation (PBE) of SmZrGaCu after structural relaxation.

```
SmZrGaCu
1.0
0.000 3.466 3.466
3.466 0.000 3.466
3.466 3.466 0.000
Sm Zr Ga Cu
1 1 1 1
Cartesian
0.000 0.000 0.000 Sm
3.466 3.466 3.466 Zr
1.733 1.733 1.733 Ga
5.199 5.199 5.199 Cu
```

Values from the calculation:
spin magnetization = 0.1519 μB/atom
E_form = -259.8 meV per atom



Entry 18:
The following is a DFT calculation (PBE) of GaCuSn after structural relaxation.

```
GaCuSn
1.0
4.900 0.000 0.000
-2.450 4.244 0.000
0.000 0.000 5.619
Ga Cu Sn
2 2 2
Cartesian
0.000 2.829 1.405 Ga
2.450 1.415 4.214 Ga
0.000 0.000 0.000 Cu
0.000 0.000 2.809 Cu
0.000 2.829 4.214 Sn
2.450 1.415 1.405 Sn
```

Values from the calculation:
spin magnetization = 0.0000 μB/atom
E_form = 267.0 meV per atom



Entry 19:
The following is a DFT calculation (PBE) of GaCu3Sn after structural relaxation.

```
GaCu3Sn
1.0
4.563 0.000 0.000
0.000 4.563 0.000
0.000 0.000 4.563
Ga Cu Sn
1 3 1
Cartesian
0.000 0.000 0.000 Ga
0.000 0.000 2.282 Cu
0.000 2.282 0.000 Cu
2.282 0.000 0.000 Cu
2.282 2.282 2.282 Sn
```

Values from the calculation:
spin magnetization = 0.0000 μB/atom
energy relative to the lowest polymorph listed for this composition = 0.00 eV/f.u.
E_form = 423.4 meV per atom



Entry 20:
The following is a DFT calculation (PBE) of GaCuSn3 after structural relaxation.

```
GaCuSn3
1.0
5.114 0.000 0.000
0.000 5.114 0.000
0.000 0.000 5.114
Ga Cu Sn
1 1 3
Cartesian
0.000 0.000 0.000 Ga
2.557 2.557 2.557 Cu
0.000 2.557 2.557 Sn
2.557 0.000 2.557 Sn
2.557 2.557 0.000 Sn
```

Values from the calculation:
spin magnetization = 0.0000 μB/atom
energy relative to the lowest polymorph listed for this composition = 0.00 eV/f.u.
E_form = 300.0 meV per atom



| no. | N(E_F) (states/eV per atom) |
| --- | --- |
| 1 | 0.468 |
| 2 | 1.177 |
| 3 | 0.653 |
| 4 | 0.385 |
| 5 | 0.602 |
| 6 | 0.842 |
| 7 | 0.445 |
| 8 | 0.434 |
| 9 | 0.516 |
| 10 | 0.598 |
| 11 | 0.396 |
| 12 | 0.476 |
| 13 | 0.389 |
| 14 | 0.266 |
| 15 | 0.536 |
| 16 | 0.339 |
| 17 | 1.061 |
| 18 | 0.404 |
| 19 | 0.304 |
| 20 | 0.380 |